This record from Alexandria via LeMat-Bulk describes an optimized crystal structure of NiIrN3. The functional is PBE.

a b c (Å): 3.833 3.833 3.833
angles (deg): 90.00 90.00 90.00
Atoms (fractional coordinates):
N 0.500 0.000 0.000
Ir 0.000 0.000 0.000
N 0.000 0.000 0.500
N 0.000 0.500 0.000
Ni 0.500 0.500 0.500

Calculated values
V = 56.3 Å³/cell
uncorrected formation energy = 8.52 eV/f.u.



This record from Alexandria via LeMat-Bulk describes an optimized crystal structure of NiIrN3. The functional is PBE.

a b c (Å): 3.636 3.636 3.636
angles (deg): 90.00 90.00 90.00
Atoms (fractional coordinates):
Ir 0.500 0.500 0.500
N 0.500 0.000 0.000
N 0.000 0.500 0.000
Ni 0.000 0.000 0.000
N 0.000 0.000 0.500

Calculated values
V = 48.1 Å³/cell
uncorrected formation energy = 9.74 eV/f.u.



This record from Alexandria via LeMat-Bulk describes an optimized crystal structure of Ni2IrN. The functional is PBE.

a b c (Å): 2.679 2.679 7.586
angles (deg): 79.83 79.83 60.00
Atoms (fractional coordinates):
Ir 0.000 0.000 0.000
N 0.500 0.500 0.500
Ni 0.115 0.115 0.656
Ni 0.885 0.885 0.344

Calculated values
V = 46.1 Å³/cell
uncorrected formation energy = 2.15 eV/f.u.



no.,spin magnetization (μB per cell)
1,1.76
2,0.00
3,0.00